(w)
Density functional theory data (GGA-PBE) for a geometry-optimized Cs2RbLiCl structure.

ρ: 2.0 g/cm3
total magnetization: 0.0 μB per cell
crystal system: tetragonal

a b c (Å): 8.3125 8.3125 4.8427
angles (deg): 90.00 90.00 90.00
With the nearest neighbours (Å) after each atom.
Positions (direct):
Cs: 0.0000 0.5000 0.0000  2 Cl 4.16
Cs: 0.5000 0.0000 0.0000  2 Cl 4.16
Li: 0.0000 0.0000 0.5000  2 Cl 2.42
Rb: 0.5000 0.5000 0.5000  8 Cs 4.81, 2 Rb 4.84
Cl: 0.0000 0.0000 0.0000  2 Li 2.42

(x)
Density functional theory data (GGA-PBE) for a geometry-optimized Cs2RbLiCl structure.

ρ: 2.1 g/cm3
total magnetization: 0.0 μB per cell
crystal system: tetragonal

a b c (Å): 6.9159 6.9159 6.5765
angles (deg): 90.00 90.00 90.00
With the nearest neighbours (Å) after each atom.
Positions (direct):
Cs: 0.0000 0.5000 0.0000  2 Cl 3.46
Cs: 0.5000 0.0000 0.0000  2 Cl 3.46
Li: 0.5000 0.5000 0.5000  8 Cs 4.77, 4 Rb 4.89
Rb: 0.0000 0.0000 0.5000  2 Cl 3.29
Cl: 0.0000 0.0000 0.0000  2 Rb 3.29, 4 Cs 3.46

Relative energies, eV/atom: (w) 0.088; (x) 0.000.

(w)
Density functional theory data (GGA-PBE) for a geometry-optimized Cs2LiTeCl6 structure.

ρ: 3.1 g/cm3
total magnetization: 2.0 μB per cell
crystal system: trigonal

a b c (Å): 7.5124 7.5124 14.0871
angles (deg): 74.54 74.54 60.00
With the nearest neighbours (Å) after each atom.
Positions (direct):
Cs: 0.8804 0.8804 0.3588  9 Cl 3.58-3.78
Cs: 0.1196 0.1196 0.6412  9 Cl 3.58-3.78
Cs: 0.7006 0.7006 0.8983  9 Cl 3.80-3.96
Cs: 0.2994 0.2994 0.1017  9 Cl 3.80-3.96
Li: 0.5932 0.5932 0.2205  3 Cl 2.40
Li: 0.4068 0.4068 0.7795  3 Cl 2.40
Te: 0.0000 0.0000 0.0000  6 Cl 2.91
Te: 0.5000 0.5000 0.5000  6 Cl 2.56
Cl: 0.8557 0.3787 0.3869  1 Te 2.56
Cl: 0.3787 0.8557 0.3869  1 Te 2.56
Cl: 0.3787 0.3787 0.3869  1 Te 2.56
Cl: 0.1443 0.6213 0.6131  1 Te 2.56
Cl: 0.6213 0.1443 0.6131  1 Te 2.56
Cl: 0.6213 0.6213 0.6131  1 Te 2.56
Cl: 0.7169 0.2142 0.8546  1 Li 2.40
Cl: 0.2142 0.7169 0.8546  1 Li 2.40
Cl: 0.2142 0.2142 0.8546  1 Li 2.40
Cl: 0.2831 0.7858 0.1454  1 Li 2.40
Cl: 0.7858 0.2831 0.1454  1 Li 2.40
Cl: 0.7858 0.7858 0.1454  1 Li 2.40

(x)
Density functional theory data (GGA-PBE) for a geometry-optimized Cs2LiTeCl6 structure.

ρ: 3.3 g/cm3
total magnetization: 1.0 μB per cell
crystal system: tetragonal

a b c (Å): 7.6057 7.6057 7.5749
angles (deg): 59.87 59.87 90.00
With the nearest neighbours (Å) after each atom.
Positions (direct):
Cs: 0.7500 0.2500 0.5000  12 Cl 3.79-3.80
Cs: 0.2500 0.7500 0.5000  12 Cl 3.79-3.80
Te: 0.0000 0.0000 0.0000  6 Cl 2.56-2.81
Li: 0.5000 0.5000 0.0000  6 Cl 2.57-2.77
Cl: 0.2400 0.2400 0.5200  1 Te 2.56, 1 Li 2.77
Cl: 0.7600 0.7600 0.4800  1 Te 2.56, 1 Li 2.77
Cl: 0.2610 0.2610 0.0000  1 Li 2.57, 1 Te 2.81
Cl: 0.7390 0.7390 0.0000  1 Li 2.57, 1 Te 2.81
Cl: 0.7390 0.2610 0.0000  1 Li 2.57, 1 Te 2.81
Cl: 0.2610 0.7390 0.0000  1 Li 2.57, 1 Te 2.81

Relative energies, eV/atom: (w) 0.000; (x) 0.013.